1.
Computed, not measured: a relaxed ErMgZnPb crystal at the PBE level of DFT.

## Properties
calculated formation energy	-26.9	kJ/mol of atoms
DOS(E_F)	0.383	states/eV/atom
ΔE to the lowest computed polymorph	0.000	eV per atom
symmetry	No. 47

a b c (Å): 4.2892 4.6058 4.6672
angles (deg): 90.00 90.00 90.00
Positions (direct):
1 Er 0.0000 0.0000 0.0000
2 Mg 0.0000 0.5000 0.5000
3 Zn 0.5000 0.0000 0.5000
4 Pb 0.5000 0.5000 0.0000

2.
Computed, not measured: a relaxed LaInBr2 crystal at the PBE level of DFT.

## Properties
DOS(E_F)	0.277	states/eV/atom
ΔE to the lowest computed polymorph	0.096	eV per atom
symmetry	No. 47
formation energy from raw total energies	-1025	meV per atom

a b c (Å): 4.0303 4.8299 5.9783
angles (deg): 90.00 90.00 90.00
Positions (direct):
1 La 0.0000 0.0000 0.0000
2 In 0.5000 0.0000 0.5000
3 Br 0.0000 0.5000 0.5000
4 Br 0.5000 0.5000 0.0000

3.
Computed, not measured: a relaxed PaCd2GaO8 crystal at the PBE level of DFT.

## Properties
DOS(E_F)	0.623	states/eV/atom
symmetry	No. 119
formation energy from raw total energies	-1276	meV per atom

a b c (Å): 6.1052 6.1052 6.1052
angles (deg): 116.05 116.05 97.00
Positions (direct):
1 Pa 0.0000 0.0000 0.0000
2 Cd 0.5000 0.5000 0.0000
3 Cd 0.7500 0.2500 0.5000
4 Ga 0.2500 0.7500 0.5000
5 O 0.2783 0.0752 0.7968
6 O 0.2783 0.4815 0.2032
7 O 0.3452 0.0355 0.3097
8 O 0.5185 0.7217 0.7968
9 O 0.7257 0.0355 0.6903
10 O 0.9248 0.7217 0.2032
11 O 0.9645 0.2743 0.3097
12 O 0.9645 0.6548 0.6903